Here is a geometry-optimized Sr9LuV7O28 structure from the Alexandria database. Energies are from GGA+U.

Output
* raw total energy: -7.32 eV per atom
* D(E_F): 0.00 states/eV per atom
* SG: R3c (161)
* M_tot: 0.6 μB per cell

a b c (Å): 14.8820 14.8820 14.8820
angles (deg): 44.84 44.84 44.84
Sites, in units of the cell vectors:
1 Sr 0.0551 0.4679 0.4770
2 Sr 0.2525 0.8067 0.8386
3 Sr 0.3067 0.7525 0.3386
4 Sr 0.3386 0.3067 0.7525
5 Sr 0.3538 0.3751 0.9491
6 Sr 0.3751 0.9491 0.3538
7 Sr 0.4491 0.8751 0.8538
8 Sr 0.4679 0.4770 0.0551
9 Sr 0.4770 0.0551 0.4679
10 Sr 0.5551 0.9770 0.9679
11 Sr 0.7525 0.3386 0.3067
12 Sr 0.8067 0.8386 0.2525
13 Sr 0.8386 0.2525 0.8067
14 Sr 0.8538 0.4491 0.8751
15 Sr 0.8751 0.8538 0.4491
16 Sr 0.9491 0.3538 0.3751
17 Sr 0.9679 0.5551 0.9770
18 Sr 0.9770 0.9679 0.5551
19 Lu 0.4004 0.4004 0.4004
20 Lu 0.9004 0.9004 0.9004
21 V 0.0865 0.5872 0.1230
22 V 0.0872 0.5865 0.6230
23 V 0.1230 0.0865 0.5872
24 V 0.1708 0.1708 0.1708
25 V 0.1765 0.7216 0.2094
26 V 0.2094 0.1765 0.7216
27 V 0.2216 0.6765 0.7094
28 V 0.5872 0.1230 0.0865
29 V 0.5865 0.6230 0.0872
30 V 0.6230 0.0872 0.5865
31 V 0.6708 0.6708 0.6708
32 V 0.6765 0.7094 0.2216
33 V 0.7094 0.2216 0.6765
34 V 0.7216 0.2094 0.1765
35 O 0.0041 0.2998 0.1736
36 O 0.0055 0.5781 0.5883
37 O 0.0087 0.7350 0.2932
38 O 0.0089 0.7713 0.0332
39 O 0.0290 0.2580 0.7786
40 O 0.0332 0.0089 0.7713
41 O 0.0371 0.7614 0.5596
42 O 0.0368 0.7792 0.7805
43 O 0.0428 0.4914 0.8018
44 O 0.0596 0.2614 0.5371
45 O 0.0781 0.5055 0.0883
46 O 0.0883 0.0781 0.5055
47 O 0.1602 0.8042 0.2634
48 O 0.1736 0.0041 0.2998
49 O 0.2142 0.2142 0.2142
50 O 0.2350 0.5087 0.7932
51 O 0.2580 0.7786 0.0290
52 O 0.2614 0.5371 0.0596
53 O 0.2634 0.1602 0.8042
54 O 0.2713 0.5089 0.5332
55 O 0.2792 0.5368 0.2805
56 O 0.2786 0.7580 0.5290
57 O 0.2805 0.2792 0.5368
58 O 0.2932 0.0087 0.7350
59 O 0.2998 0.1736 0.0041
60 O 0.3018 0.9914 0.5428
61 O 0.3042 0.6602 0.7634
62 O 0.4914 0.8018 0.0428
63 O 0.5041 0.6736 0.7998
64 O 0.5055 0.0883 0.0781
65 O 0.5089 0.5332 0.2713
66 O 0.5087 0.7932 0.2350
67 O 0.5290 0.2786 0.7580
68 O 0.5332 0.2713 0.5089
69 O 0.5371 0.0596 0.2614
70 O 0.5368 0.2805 0.2792
71 O 0.5428 0.3018 0.9914
72 O 0.5596 0.0371 0.7614
73 O 0.5781 0.5883 0.0055
74 O 0.5883 0.0055 0.5781
75 O 0.6602 0.7634 0.3042
76 O 0.6736 0.7998 0.5041
77 O 0.7142 0.7142 0.7142
78 O 0.7350 0.2932 0.0087
79 O 0.7580 0.5290 0.2786
80 O 0.7614 0.5596 0.0371
81 O 0.7634 0.3042 0.6602
82 O 0.7713 0.0332 0.0089
83 O 0.7786 0.0290 0.2580
84 O 0.7792 0.7805 0.0368
85 O 0.7805 0.0368 0.7792
86 O 0.7932 0.2350 0.5087
87 O 0.7998 0.5041 0.6736
88 O 0.8018 0.0428 0.4914
89 O 0.8042 0.2634 0.1602
90 O 0.9914 0.5428 0.3018